## A
First-principles (PBE) data for a relaxed K2LaZr crystal, as listed in Alexandria via LeMat-Bulk.

abc: 3.343 6.653 7.041
angles: 90.00 90.00 90.00
Fractional positions:
K (0.000, 0.240, 0.000)
K (0.000, 0.760, 0.000)
La (0.500, 0.500, 0.500)
Zr (0.500, 0.000, 0.500)

## Properties
space group	Pmmm
ρ	3.270	Mg/m³
M_tot	0.279	μB/atom


## B
First-principles (PBE) data for a relaxed K2LaZr crystal, as listed in Alexandria via LeMat-Bulk.

abc: 6.172 6.172 6.172
angles: 120.12 120.12 89.80
Fractional positions:
K (0.000, 0.000, 0.000)
K (0.750, 0.250, 0.500)
La (0.250, 0.750, 0.500)
Zr (0.500, 0.500, 0.000)

## Properties
space group	I-4m2
ρ	3.086	Mg/m³
M_tot	1.152	μB/atom


What should be chosen as the least stable of them? Choose B.


## A
First-principles (PBE) data for a relaxed K2LaZr crystal, as listed in Alexandria via LeMat-Bulk.

abc: 7.970 7.970 3.489
angles: 102.08 102.08 129.15
Fractional positions:
K (0.000, 0.500, 0.000)
K (0.500, 0.000, 0.000)
La (0.000, 0.000, 0.500)
Zr (0.500, 0.500, 0.500)

## Properties
space group	C2/m
ρ	3.412	Mg/m³
M_tot	0.104	μB/atom


## B
First-principles (PBE) data for a relaxed K2LaZr crystal, as listed in Alexandria via LeMat-Bulk.

abc: 5.450 5.450 10.113
angles: 92.54 92.54 36.50
Fractional positions:
K (0.000, 0.000, 0.000)
K (0.238, 0.238, 0.649)
La (0.758, 0.758, 0.275)
Zr (0.487, 0.487, 0.382)

## Properties
space group	Cm
ρ	2.869	Mg/m³
M_tot	0.000	μB/atom


## C
First-principles (PBE) data for a relaxed K2LaZr crystal, as listed in Alexandria via LeMat-Bulk.

abc: 10.909 10.909 5.279
angles: 103.90 103.90 18.33
Fractional positions:
K (0.163, 0.163, 0.165)
K (0.837, 0.837, 0.835)
La (0.000, 0.000, 0.500)
Zr (0.500, 0.500, 0.000)

## Properties
space group	C2/m
ρ	2.672	Mg/m³
M_tot	0.000	μB/atom


## D
First-principles (PBE) data for a relaxed K2LaZr crystal, as listed in Alexandria via LeMat-Bulk.

abc: 14.784 14.784 14.784
angles: 161.84 161.84 25.79
Fractional positions:
K (0.119, 0.625, 0.994)
K (0.375, 0.369, 0.494)
K (0.631, 0.125, 0.006)
K (0.875, 0.881, 0.506)
La (0.250, 0.750, 0.500)
La (0.500, 0.500, 0.000)
Zr (0.000, 0.000, 0.000)
Zr (0.750, 0.250, 0.500)

## Properties
space group	I-42d
ρ	3.264	Mg/m³
M_tot	0.001	μB/atom


What should be chosen as the least stable of them? Choose D.


## A
First-principles (PBE) data for a relaxed K2LaZr crystal, as listed in Alexandria via LeMat-Bulk.

abc: 3.570 5.866 7.183
angles: 90.00 90.00 90.00
Fractional positions:
K (0.000, 0.000, 0.000)
K (0.500, 0.500, 0.000)
La (0.000, 0.500, 0.500)
Zr (0.500, 0.000, 0.500)

## Properties
space group	Pmmm
ρ	3.404	Mg/m³
M_tot	0.154	μB/atom


## B
First-principles (PBE) data for a relaxed K2LaZr crystal, as listed in Alexandria via LeMat-Bulk.

abc: 7.789 7.789 3.358
angles: 90.00 90.00 129.65
Fractional positions:
K (0.000, 0.500, 0.000)
K (0.500, 0.000, 0.000)
La (0.000, 0.000, 0.500)
Zr (0.500, 0.500, 0.500)

## Properties
space group	Cmmm
ρ	3.264	Mg/m³
M_tot	0.275	μB/atom


What should be chosen as the least stable of them? Choose B.


## A
First-principles (PBE) data for a relaxed KLaZr crystal, as listed in Alexandria via LeMat-Bulk.

abc: 3.521 3.521 9.841
angles: 90.00 90.00 120.00
Fractional positions:
K (0.000, 0.000, 0.000)
La (0.667, 0.333, 0.393)
Zr (0.333, 0.667, 0.659)

## Properties
space group	P3m1
ρ	4.231	Mg/m³
M_tot	0.000	μB/atom


## B
First-principles (PBE) data for a relaxed KLaZr crystal, as listed in Alexandria via LeMat-Bulk.

abc: 6.052 6.052 3.149
angles: 90.00 90.00 120.00
Fractional positions:
K (0.000, 0.000, 0.000)
La (0.667, 0.333, 0.007)
Zr (0.333, 0.667, 0.506)

## Properties
space group	P3m1
ρ	4.476	Mg/m³
M_tot	0.319	μB/atom


What should be chosen as the least stable of them? Choose B.


## A
First-principles (PBE) data for a relaxed KLi2 crystal, as listed in Alexandria via LeMat-Bulk.

abc: 4.235 4.253 12.673
angles: 80.58 89.86 90.00
Fractional positions:
K (0.249, 0.173, 0.154)
K (0.751, 0.827, 0.846)
Li (0.249, 0.959, 0.587)
Li (0.251, 0.542, 0.411)
Li (0.749, 0.458, 0.589)
Li (0.751, 0.041, 0.413)

## Properties
space group	P-1
ρ	0.781	Mg/m³
M_tot	0.000	μB/atom


## B
First-principles (PBE) data for a relaxed KLi2 crystal, as listed in Alexandria via LeMat-Bulk.

abc: 7.841 7.841 7.841
angles: 90.00 90.00 90.00
Fractional positions:
K (0.000, 0.000, 0.000)
K (0.000, 0.500, 0.500)
K (0.500, 0.000, 0.500)
K (0.500, 0.500, 0.000)
Li (0.107, 0.607, 0.893)
Li (0.107, 0.893, 0.393)
Li (0.393, 0.107, 0.893)
Li (0.393, 0.393, 0.393)
Li (0.607, 0.607, 0.607)
Li (0.607, 0.893, 0.107)
Li (0.893, 0.107, 0.607)
Li (0.893, 0.393, 0.107)

## Properties
space group	Pa-3
ρ	0.730	Mg/m³
M_tot	0.000	μB/atom


What should be chosen as the least stable of them? Choose B.


## A
First-principles (PBE) data for a relaxed KLi2 crystal, as listed in Alexandria via LeMat-Bulk.

abc: 5.758 5.758 5.758
angles: 60.00 60.00 60.00
Fractional positions:
K (0.000, 0.000, 0.000)
Li (0.250, 0.250, 0.250)
Li (0.750, 0.750, 0.750)

## Properties
space group	Fm-3m
ρ	0.652	Mg/m³
M_tot	0.000	μB/atom


## B
First-principles (PBE) data for a relaxed KLi2 crystal, as listed in Alexandria via LeMat-Bulk.

abc: 9.461 9.461 6.298
angles: 90.00 90.00 157.64
Fractional positions:
K (0.107, 0.893, 0.750)
K (0.893, 0.107, 0.250)
Li (0.214, 0.786, 0.250)
Li (0.428, 0.572, 0.750)
Li (0.572, 0.428, 0.250)
Li (0.786, 0.214, 0.750)

## Properties
space group	Cmcm
ρ	0.821	Mg/m³
M_tot	0.000	μB/atom


## C
First-principles (PBE) data for a relaxed KLi2 crystal, as listed in Alexandria via LeMat-Bulk.

abc: 9.538 9.538 5.052
angles: 104.86 104.86 30.82
Fractional positions:
K (0.169, 0.169, 0.167)
K (0.831, 0.831, 0.833)
Li (0.000, 0.000, 0.500)
Li (0.411, 0.411, 0.412)
Li (0.500, 0.500, 0.000)
Li (0.589, 0.589, 0.588)

## Properties
space group	C2/m
ρ	0.775	Mg/m³
M_tot	0.000	μB/atom


What should be chosen as the least stable of them? Choose A.


## A
First-principles (PBE) data for a relaxed K5Li crystal, as listed in Alexandria via LeMat-Bulk.

abc: 8.295 8.295 8.295
angles: 60.00 60.00 60.00
Fractional positions:
K (0.000, 0.000, 0.000)
K (0.127, 0.624, 0.624)
K (0.624, 0.127, 0.624)
K (0.624, 0.624, 0.127)
K (0.624, 0.624, 0.624)
Li (0.250, 0.250, 0.250)

## Properties
space group	F-43m
ρ	0.833	Mg/m³
M_tot	0.000	μB/atom


## B
First-principles (PBE) data for a relaxed K5Li crystal, as listed in Alexandria via LeMat-Bulk.

abc: 7.087 10.774 10.774
angles: 27.24 90.00 90.00
Fractional positions:
K (0.000, 0.000, 0.000)
K (0.000, 0.299, 0.299)
K (0.500, 0.149, 0.149)
K (0.500, 0.483, 0.483)
K (0.500, 0.815, 0.815)
Li (0.000, 0.649, 0.649)

## Properties
space group	Amm2
ρ	0.893	Mg/m³
M_tot	0.000	μB/atom


## C
First-principles (PBE) data for a relaxed K5Li crystal, as listed in Alexandria via LeMat-Bulk.

abc: 4.553 4.553 18.288
angles: 90.00 90.00 90.00
Fractional positions:
K (0.000, 0.000, 0.000)
K (0.000, 0.000, 0.377)
K (0.000, 0.000, 0.623)
K (0.500, 0.500, 0.189)
K (0.500, 0.500, 0.811)
Li (0.500, 0.500, 0.500)

## Properties
space group	P4/mmm
ρ	0.887	Mg/m³
M_tot	0.000	μB/atom


## D
First-principles (PBE) data for a relaxed K5Li crystal, as listed in Alexandria via LeMat-Bulk.

abc: 8.111 8.111 10.252
angles: 107.99 107.99 36.21
Fractional positions:
K (0.000, 0.000, 0.000)
K (0.020, 0.020, 0.440)
K (0.357, 0.357, 0.642)
K (0.691, 0.691, 0.839)
K (0.714, 0.714, 0.282)
Li (0.355, 0.355, 0.137)

## Properties
space group	Cm
ρ	0.892	Mg/m³
M_tot	0.000	μB/atom


What should be chosen as the least stable of them? Choose A.


## A
First-principles (PBE) data for a relaxed KLi4 crystal, as listed in Alexandria via LeMat-Bulk.

abc: 6.354 6.354 6.354
angles: 109.47 109.47 109.47
Fractional positions:
K (0.000, 0.000, 0.000)
Li (0.000, 0.000, 0.500)
Li (0.000, 0.500, 0.000)
Li (0.500, 0.000, 0.000)
Li (0.500, 0.500, 0.500)

## Properties
space group	Im-3m
ρ	0.562	Mg/m³
M_tot	0.000	μB/atom


## B
First-principles (PBE) data for a relaxed KLi4 crystal, as listed in Alexandria via LeMat-Bulk.

abc: 5.725 5.725 5.725
angles: 90.00 90.00 90.00
Fractional positions:
K (0.000, 0.000, 0.000)
Li (0.000, 0.000, 0.500)
Li (0.000, 0.500, 0.000)
Li (0.500, 0.000, 0.000)
Li (0.500, 0.500, 0.500)

## Properties
space group	Pm-3m
ρ	0.592	Mg/m³
M_tot	0.000	μB/atom


What should be chosen as the least stable of them? Choose B.


## A
First-principles (PBE) data for a relaxed K3Li2 crystal, as listed in Alexandria via LeMat-Bulk.

abc: 15.990 15.990 15.990
angles: 15.42 15.42 15.42
Fractional positions:
K (0.000, 0.000, 0.000)
K (0.209, 0.209, 0.209)
K (0.791, 0.791, 0.791)
Li (0.396, 0.396, 0.396)
Li (0.604, 0.604, 0.604)

## Properties
space group	R-3m
ρ	0.865	Mg/m³
M_tot	0.000	μB/atom


## B
First-principles (PBE) data for a relaxed K3Li2 crystal, as listed in Alexandria via LeMat-Bulk.

abc: 9.938 9.938 9.938
angles: 49.85 49.85 49.85
Fractional positions:
K (0.181, 0.750, 0.319)
K (0.250, 0.681, 0.819)
K (0.319, 0.181, 0.750)
K (0.681, 0.819, 0.250)
K (0.750, 0.319, 0.181)
K (0.819, 0.250, 0.681)
Li (0.194, 0.194, 0.194)
Li (0.306, 0.306, 0.306)
Li (0.694, 0.694, 0.694)
Li (0.806, 0.806, 0.806)

## Properties
space group	R-3c
ρ	0.826	Mg/m³
M_tot	0.000	μB/atom


What should be chosen as the least stable of them? Choose A.


## A
First-principles (PBE) data for a relaxed KLiMg2Pd crystal, as listed in Alexandria via LeMat-Bulk.

abc: 5.121 5.121 6.012
angles: 90.00 90.00 90.00
Fractional positions:
K (0.000, 0.000, 0.000)
Li (0.500, 0.500, 0.000)
Mg (0.000, 0.500, 0.500)
Mg (0.500, 0.000, 0.500)
Pd (0.000, 0.000, 0.500)

## Properties
space group	P4/mmm
ρ	2.118	Mg/m³
M_tot	0.000	μB/atom


## B
First-principles (PBE) data for a relaxed KLiMg2Pd crystal, as listed in Alexandria via LeMat-Bulk.

abc: 5.162 5.162 5.157
angles: 90.00 90.00 90.00
Fractional positions:
K (0.000, 0.000, 0.000)
Li (0.500, 0.500, 0.000)
Mg (0.000, 0.500, 0.500)
Mg (0.500, 0.000, 0.500)
Pd (0.500, 0.500, 0.500)

## Properties
space group	P4/mmm
ρ	2.429	Mg/m³
M_tot	0.000	μB/atom


What should be chosen as the least stable of them? Choose A.